--- 1 ---
Material: Be2SnOsCl
Method: DFT, PBE
State: optimized geometry

Structure (CIF):
```
data_Be2SnOsCl
_symmetry_space_group_name_H-M 'P 1'
_symmetry_Int_Tables_number 1
_cell_length_a 4.0300
_cell_length_b 4.0300
_cell_length_c 4.9123
_cell_angle_alpha 90.00
_cell_angle_beta 90.00
_cell_angle_gamma 90.00
loop_
_symmetry_equiv_pos_as_xyz
'x,y,z'
loop_
_atom_site_label
_atom_site_type_symbol
_atom_site_fract_x
_atom_site_fract_y
_atom_site_fract_z
Be1 Be 0.0000 0.5000 0.0000
Be2 Be 0.5000 0.0000 0.0000
Sn1 Sn 0.0000 0.0000 0.5000
Os1 Os 0.5000 0.5000 0.5000
Cl1 Cl 0.5000 0.5000 0.0000
```

Properties
Calculated density = 7.5 g/cm3

=====

--- 2 ---
Material: Be2SnOsCl
Method: DFT, PBE
State: optimized geometry

Structure (CIF):
```
data_Be2SnOsCl
_symmetry_space_group_name_H-M 'P 1'
_symmetry_Int_Tables_number 1
_cell_length_a 4.6332
_cell_length_b 4.6332
_cell_length_c 5.1941
_cell_angle_alpha 90.00
_cell_angle_beta 90.00
_cell_angle_gamma 90.00
loop_
_symmetry_equiv_pos_as_xyz
'x,y,z'
loop_
_atom_site_label
_atom_site_type_symbol
_atom_site_fract_x
_atom_site_fract_y
_atom_site_fract_z
Be1 Be 0.0000 0.5000 0.0000
Be2 Be 0.5000 0.0000 0.0000
Sn1 Sn 0.0000 0.0000 0.0000
Os1 Os 0.5000 0.5000 0.5000
Cl1 Cl 0.0000 0.0000 0.5000
```

Properties
Calculated density = 5.4 g/cm3

=====

Looking at the structures above, 1 is most stable, and the difference to the next one is 0.535 eV/atom.